(1)
Material: CsK2Pa3Se8
Method: DFT, GGA-PBE
State: optimized geometry

abc: 8.632 8.632 9.623
angles: 63.35 63.35 60.00
Site moments in Bohr magnetons follow the coordinates.
Atoms (fractional coordinates):
Se: 0.696 0.245 0.813  -0.02
K: 0.130 0.130 0.610  0.00
Se: 0.270 0.270 0.190  -0.02
Pa: 0.499 0.499 0.000  0.70
Se: 0.753 0.311 0.182  -0.02
Se: 0.726 0.726 0.823  -0.02
Se: 0.245 0.245 0.813  -0.02
Se: 0.311 0.753 0.182  -0.02
Cs: 0.863 0.863 0.412  0.00
K: 0.500 0.500 0.500  0.00
Pa: 0.002 0.499 0.000  0.70
Se: 0.753 0.753 0.182  -0.02
Pa: 0.499 0.002 0.000  0.70
Se: 0.245 0.696 0.813  -0.02

Calculated values
- volume (Å³/atom) = 37.95
- calculated density (g/cm³) = 4.8
- space-group type = R3m (160)
- uncorrected energy (eV/atom) = -5.599
- spin magnetization (Bohr magnetons per cell) = 2.03



(2)
Material: Ba2ZnSe
Method: DFT, GGA-PBE
State: optimized geometry

abc: 5.737 5.737 5.737
angles: 60.00 60.00 60.00
Atoms (fractional coordinates):
Se: 0.500 0.500 0.500
Zn: 0.000 0.000 0.000
Ba: 0.250 0.250 0.250
Ba: 0.750 0.750 0.750

Calculated values
- distance to the lowest polymorph of the same formula (kJ/mol of formula units) = 70
- volume (Å³/atom) = 33.38
- calculated density (g/cm³) = 5.2
- space-group type = Fm-3m (225)
- spin magnetization (Bohr magnetons per cell) = 0.00



(3)
Material: CaTb8Sm5
Method: DFT, GGA-PBE
State: optimized geometry

abc: 8.543 8.543 8.543
angles: 110.94 106.57 110.94
Atoms (fractional coordinates):
Sm: 0.286 0.102 0.966
Sm: 0.816 0.680 0.714
Tb: 0.575 0.917 0.835
Tb: 0.918 0.083 0.658
Sm: 0.500 0.000 0.500
Tb: 0.342 0.260 0.425
Sm: 0.864 0.898 0.184
Tb: 0.528 0.603 0.277
Ca: 0.250 0.500 0.750
Tb: 0.673 0.397 0.925
Tb: 0.723 0.251 0.327
Tb: 0.075 0.749 0.472
Tb: 0.165 0.740 0.082
Sm: 0.034 0.320 0.136

Calculated values
- E_form (eV/atom) = 0.232
- volume (Å³/atom) = 34.22
- calculated density (g/cm³) = 7.2
- space-group type = I-4 (82)
- spin magnetization (Bohr magnetons per cell) = 0.00



(4)
Material: Ta3Si5
Method: DFT, GGA-PBE
State: optimized geometry

abc: 7.740 7.740 4.891
angles: 90.00 90.00 120.00
Atoms (fractional coordinates):
Ta: 0.617 0.000 0.250
Si: 0.218 0.218 0.750
Si: 0.000 0.218 0.250
Si: 0.218 0.000 0.250
Si: 0.333 0.667 0.000
Si: 0.667 0.333 0.500
Si: 0.667 0.333 0.000
Ta: 0.383 0.383 0.250
Si: 0.000 0.782 0.750
Si: 0.333 0.667 0.500
Ta: 0.383 0.000 0.750
Ta: 0.617 0.617 0.750
Si: 0.782 0.000 0.750
Ta: 0.000 0.383 0.750
Ta: 0.000 0.617 0.250
Si: 0.782 0.782 0.250

Calculated values
- distance to the lowest polymorph of the same formula (kJ/mol of formula units) = 28
- volume (Å³/atom) = 15.86
- calculated density (g/cm³) = 8.9
- space-group type = P6_3/mcm (193)
- spin magnetization (Bohr magnetons per cell) = 0.00



Number 3 is which compound?
CaTb8Sm5



calculated density of number 1 (CsK2Pa3Se8)?
4.8 g/cm³



What is the formula in the third record?
CaTb8Sm5



Which value of spin magnetization does entry 4 give?
0.00 Bohr magnetons per cell